Entry 1:
A plane-wave DFT calculation with PBE was carried out for a relaxed structure of KLiMoPt.

Values from the calculation:
spin magnetization: 3.8 μB per formula unit
offset from the most stable computed form: 128.7 meV/atom
crystal system: cubic
symmetry: F-43m

```
4
Lattice="0.000 3.431 3.431 3.431 0.000 3.431 3.431 3.431 0.000" Properties=species:S:1:pos:R:3 pbc="T T T"
K 3.431 3.431 3.431
Mo 0.000 0.000 0.000
Li 5.146 5.146 5.146
Pt 1.715 1.715 1.715
```

=====

Entry 2:
A plane-wave DFT calculation with PBE was carried out for a relaxed structure of KLiMoPt.

Values from the calculation:
spin magnetization: 4.4 μB per formula unit
offset from the most stable computed form: 402.7 meV/atom
crystal system: cubic
symmetry: F-43m

```
4
Lattice="-3.290 0.289 3.609 -4.696 0.898 -1.037 -3.344 -3.528 0.550" Properties=species:S:1:pos:R:3 pbc="T T T"
Mo 0.000 0.000 0.000
K -2.833 -0.585 0.780
Li -8.498 -1.755 2.341
Pt -5.665 -1.170 1.561
```

=====

Entry 3:
A plane-wave DFT calculation with PBE was carried out for a relaxed structure of KLiMoS3.

Values from the calculation:
spin magnetization: 1.9 μB per formula unit
raw total energy: -5.197 eV per atom
crystal system: orthorhombic
symmetry: Cmcm

```
12
Lattice="3.292 5.660 2.941 -5.329 -4.808 0.111 5.357 -5.817 5.198" Properties=species:S:1:pos:R:3 pbc="T T T"
S 0.197 1.371 2.073
S 0.906 -3.928 4.026
S 4.085 3.543 4.062
S 2.414 -1.036 4.225
S 3.123 -6.336 6.177
S -0.765 -8.507 4.189
Mo 2.678 -2.908 2.599
Mo 0.000 0.000 0.000
K -1.821 -3.628 2.123
K 5.141 -1.336 6.128
Li 2.752 -4.237 5.344
Li 0.568 -0.728 2.907
```

=====

Entry 4:
A plane-wave DFT calculation with PBE was carried out for a relaxed structure of K2Na2LiReO6.

Values from the calculation:
spin magnetization: 0.0 μB per formula unit
raw total energy: -5.759 eV per atom
crystal system: monoclinic
symmetry: C2/m

```
12
Lattice="-5.037 0.751 -2.883 1.960 -5.306 1.503 -1.152 2.601 5.429" Properties=species:S:1:pos:R:3 pbc="T T T"
O -0.056 -1.293 1.424
O -2.347 -2.243 3.769
O -1.882 0.288 0.279
O -1.561 1.231 4.190
O -4.174 -0.662 2.623
O -2.668 -3.185 -0.142
Na -0.364 -3.294 0.046
Na -2.713 -1.261 -1.427
Re 0.000 0.000 0.000
K -4.380 0.983 0.604
K 0.150 -2.938 3.444
Li -2.115 -0.977 2.024
```

=====

Entry 5:
A plane-wave DFT calculation with PBE was carried out for a relaxed structure of K2NaLi2ReO6.

Values from the calculation:
spin magnetization: 0.0 μB per formula unit
raw total energy: -5.836 eV per atom
crystal system: monoclinic
symmetry: C2/m

```
12
Lattice="2.623 -5.179 0.000 2.623 5.179 0.000 -1.921 0.000 5.551" Properties=species:S:1:pos:R:3 pbc="T T T"
O 0.854 -1.348 1.052
O 0.854 1.348 1.052
O 2.470 -1.348 4.499
O -0.367 0.000 4.415
O 3.691 0.000 1.136
O 2.470 1.348 4.499
Li 2.623 1.339 0.000
Li 2.623 -1.339 0.000
Na 1.662 0.000 2.775
K 1.662 -3.285 2.775
K 1.662 3.285 2.775
Re 0.000 0.000 0.000
```

=====

Entry 6:
A plane-wave DFT calculation with PBE was carried out for a relaxed structure of KLi4NbO5.

Values from the calculation:
spin magnetization: 0.0 μB per formula unit
raw total energy: -6.142 eV per atom
crystal system: triclinic
symmetry: P-1

```
22
Lattice="8.169 -0.010 0.017 -0.957 5.842 -0.010 -0.169 -3.111 5.006" Properties=species:S:1:pos:R:3 pbc="T T T"
O 7.560 -1.784 4.961
O 1.743 2.010 1.683
O 5.300 0.711 3.330
O 4.191 3.460 3.170
O -0.518 4.506 0.052
O 0.082 -0.050 2.536
O 6.961 2.772 2.477
O 2.851 -0.739 1.843
O 2.156 -2.547 4.310
O 4.886 5.269 0.703
Li 0.683 -1.623 3.465
Li 6.923 -0.159 3.988
Li 6.360 4.345 1.548
Li 2.267 3.450 2.761
Li 0.120 2.880 1.025
Li 0.255 1.802 3.293
Li 6.788 0.920 1.720
Li 4.776 -0.728 2.252
K 4.393 1.814 0.732
K 2.650 0.907 4.281
Nb 5.600 2.507 3.993
Nb 1.443 0.215 1.020
```

=====

Entry 7:
A plane-wave DFT calculation with PBE was carried out for a relaxed structure of KLiNbS3.

Values from the calculation:
spin magnetization: 0.1 μB per formula unit
raw total energy: -5.348 eV per atom
crystal system: orthorhombic
symmetry: Cmcm

```
12
Lattice="1.815 -7.003 0.000 1.815 7.003 0.000 0.000 0.000 9.704" Properties=species:S:1:pos:R:3 pbc="T T T"
S 1.815 -6.288 7.278
S 1.815 1.714 0.401
S 1.815 1.714 4.451
S 1.815 6.288 2.426
S 1.815 -1.714 5.253
S 1.815 -1.714 9.303
K 1.815 3.352 7.278
K 1.815 -3.352 2.426
Li 1.815 0.660 2.426
Li 1.815 -0.660 7.278
Nb 0.000 0.000 4.852
Nb 0.000 0.000 0.000
```

=====

Entry 8:
A plane-wave DFT calculation with PBE was carried out for a relaxed structure of KLiNiTe.

Values from the calculation:
spin magnetization: 0.0 μB per formula unit
offset from the most stable computed form: 0.0 meV/atom
crystal system: cubic
symmetry: F-43m

```
4
Lattice="0.000 3.410 3.410 3.410 0.000 3.410 3.410 3.410 0.000" Properties=species:S:1:pos:R:3 pbc="T T T"
Li 5.115 5.115 5.115
Ni 1.705 1.705 1.705
K 3.410 3.410 3.410
Te 0.000 0.000 0.000
```